The following is a PBE calculation of an optimized crystal structure of Pu8NpPt6, from Alexandria.

Results
For the total moment, the calculation gives 41.3 μB per cell. The formation energy is -0.461 eV per atom. Its crystal system is trigonal. The calculation puts the density at 14.9 g cm⁻³. For the density of states at the Fermi level, the calculation gives 80.24 states/eV per cell.

Lattice parameters (Å, degrees): 7.7657 7.7657 7.7657 66.11 66.11 66.11
Element x y z (fractional)
Pu  0.0318  0.7376  0.4034
Pu  0.1616  0.1616  0.1616
Pu  0.2624  0.5966  0.9682
Pu  0.4034  0.0318  0.7376
Pu  0.5966  0.9682  0.2624
Pu  0.7376  0.4034  0.0318
Pu  0.8384  0.8384  0.8384
Pu  0.9682  0.2624  0.5966
Np  0.5000  0.5000  0.5000
Pt  0.1243  0.4333  0.7573
Pt  0.2427  0.8757  0.5667
Pt  0.4333  0.7573  0.1243
Pt  0.5667  0.2427  0.8757
Pt  0.7573  0.1243  0.4333
Pt  0.8757  0.5667  0.2427


The following is a PBE calculation of an optimized crystal structure of Ba2AlTlPd, from Alexandria.

Results
For the total moment, the calculation gives 0.0 μB per cell. The formation energy is -0.336 eV per atom. Its crystal system is tetragonal. The calculation puts the density at 5.5 g cm⁻³. For the density of states at the Fermi level, the calculation gives 4.59 states/eV per cell.

Lattice parameters (Å, degrees): 6.2000 6.2000 4.8288 90.00 90.00 90.00
Element x y z (fractional)
Ba  0.0000  0.5000  0.0000
Ba  0.5000  0.0000  0.0000
Al  0.0000  0.0000  0.5000
Tl  0.5000  0.5000  0.5000
Pd  0.0000  0.0000  0.0000


The following is a PBE calculation of an optimized crystal structure of SrY3Ru, from Alexandria.

Results
For the total moment, the calculation gives 0.0 μB per cell. The formation energy is -0.120 eV per atom. Its crystal system is monoclinic. For the energy above the most stable polymorph in this dataset, the calculation gives 0.057 eV per atom. The calculation puts the density at 4.6 g cm⁻³. For the density of states at the Fermi level, the calculation gives 16.68 states/eV per cell.

Lattice parameters (Å, degrees): 9.6542 9.6542 7.2284 98.26 98.26 95.88
Element x y z (fractional)
Sr  0.0665  0.2075  0.1587
Sr  0.2075  0.0665  0.6587
Sr  0.7925  0.9335  0.3413
Sr  0.9335  0.7925  0.8413
Y  0.1087  0.6749  0.3945
Y  0.1760  0.5301  0.9449
Y  0.3251  0.8913  0.1055
Y  0.3351  0.4566  0.5504
Y  0.4566  0.3351  0.0504
Y  0.4699  0.8240  0.5551
Y  0.5301  0.1760  0.4449
Y  0.5434  0.6649  0.9496
Y  0.6649  0.5434  0.4496
Y  0.6749  0.1087  0.8945
Y  0.8240  0.4699  0.0551
Y  0.8913  0.3251  0.6055
Ru  0.2683  0.7317  0.7500
Ru  0.3917  0.6083  0.2500
Ru  0.6083  0.3917  0.7500
Ru  0.7317  0.2683  0.2500


The following is a PBE calculation of an optimized crystal structure of InCuPS2, from Alexandria.

Results
For the total moment, the calculation gives 0.0 μB per cell. Its crystal system is tetragonal. For the energy above the most stable polymorph in this dataset, the calculation gives 0.000 eV per atom. The calculation puts the uncorrected formation energy at 0.48 eV/atom. The calculation puts the density at 4.6 g cm⁻³. For the density of states at the Fermi level, the calculation gives 5.07 states/eV per cell.

Lattice parameters (Å, degrees): 4.7260 4.7260 4.4124 90.00 90.00 90.00
Element x y z (fractional)
In  0.0000  0.0000  0.0000
Cu  0.5000  0.5000  0.5000
P  0.5000  0.5000  0.0000
S  0.0000  0.5000  0.5000
S  0.5000  0.0000  0.5000


The following is a PBE calculation of an optimized crystal structure of K2BaI, from Alexandria.

Results
For the total moment, the calculation gives 0.0 μB per cell. Its crystal system is cubic. For the energy above the most stable polymorph in this dataset, the calculation gives 0.379 eV per atom. The calculation puts the uncorrected formation energy at -0.22 eV/atom. The calculation puts the density at 2.4 g cm⁻³. For the density of states at the Fermi level, the calculation gives 26.35 states/eV per cell.

Lattice parameters (Å, degrees): 9.8506 9.8506 9.8506 90.00 90.00 90.00
Element x y z (fractional)
K  0.2500  0.2500  0.2500
K  0.2500  0.2500  0.7500
K  0.2500  0.7500  0.2500
K  0.2500  0.7500  0.7500
K  0.7500  0.2500  0.2500
K  0.7500  0.2500  0.7500
K  0.7500  0.7500  0.2500
K  0.7500  0.7500  0.7500
Ba  0.0000  0.0000  0.0000
Ba  0.0000  0.5000  0.5000
Ba  0.5000  0.0000  0.5000
Ba  0.5000  0.5000  0.0000
I  0.0000  0.0000  0.5000
I  0.0000  0.5000  0.0000
I  0.5000  0.0000  0.0000
I  0.5000  0.5000  0.5000


The following is a PBE calculation of an optimized crystal structure of NaP3Br, from Alexandria.

Results
For the total moment, the calculation gives 2.1 μB per cell. Its crystal system is cubic. For the energy above the most stable polymorph in this dataset, the calculation gives 0.440 eV per atom. The calculation puts the uncorrected formation energy at 1.57 eV/atom. The calculation puts the density at 2.6 g cm⁻³. For the density of states at the Fermi level, the calculation gives 5.06 states/eV per cell.

Lattice parameters (Å, degrees): 5.0073 5.0073 5.0073 90.00 90.00 90.00
Element x y z (fractional)
Na  0.0000  0.0000  0.0000
P  0.0000  0.0000  0.5000
P  0.0000  0.5000  0.0000
P  0.5000  0.0000  0.0000
Br  0.5000  0.5000  0.5000


The following is a PBE calculation of an optimized crystal structure of HfZnSe2, from Alexandria.

Results
For the total moment, the calculation gives 0.0 μB per cell. Its crystal system is trigonal. The calculation puts the uncorrected formation energy at -0.18 eV/atom. The calculation puts the density at 6.9 g cm⁻³. For the density of states at the Fermi level, the calculation gives 0.38 states/eV per cell.

Lattice parameters (Å, degrees): 3.7433 3.7433 23.9855 90.00 90.00 120.00
Element x y z (fractional)
Hf  0.0000  0.0000  0.0000
Hf  0.3333  0.6667  0.6667
Hf  0.6667  0.3333  0.3333
Zn  0.0000  0.0000  0.5000
Zn  0.3333  0.6667  0.1667
Zn  0.6667  0.3333  0.8333
Se  0.0000  0.0000  0.1052
Se  0.0000  0.0000  0.8948
Se  0.3333  0.6667  0.5615
Se  0.3333  0.6667  0.7718
Se  0.6667  0.3333  0.2282
Se  0.6667  0.3333  0.4385


The following is a PBE calculation of an optimized crystal structure of TiPt3, from Alexandria.

Results
For the total moment, the calculation gives 0.0 μB per cell. The formation energy is -0.622 eV per atom. Its crystal system is orthorhombic. The calculation puts the density at 16.8 g cm⁻³. For the density of states at the Fermi level, the calculation gives 5.93 states/eV per cell.

Lattice parameters (Å, degrees): 2.8801 9.1060 4.7623 90.00 90.00 90.00
Element x y z (fractional)
Ti  0.0000  0.0000  0.0000
Ti  0.5000  0.5000  0.5000
Pt  0.0000  0.2607  0.6438
Pt  0.0000  0.5000  0.0190
Pt  0.0000  0.7393  0.6438
Pt  0.5000  0.0000  0.5190
Pt  0.5000  0.2393  0.1438
Pt  0.5000  0.7607  0.1438


The following is a PBE calculation of an optimized crystal structure of TbTlSn2, from Alexandria.

Results
For the total moment, the calculation gives 0.0 μB per cell. The formation energy is -0.388 eV per atom. Its crystal system is tetragonal. For the energy above the most stable polymorph in this dataset, the calculation gives 0.000 eV per atom. The calculation puts the density at 9.4 g cm⁻³. For the density of states at the Fermi level, the calculation gives 1.71 states/eV per cell.

Lattice parameters (Å, degrees): 4.6859 4.6859 4.8421 90.00 90.00 90.00
Element x y z (fractional)
Tb  0.0000  0.0000  0.0000
Tl  0.5000  0.5000  0.0000
Sn  0.0000  0.5000  0.5000
Sn  0.5000  0.0000  0.5000


The following is a PBE calculation of an optimized crystal structure of LiHSe, from Alexandria.

Results
For the total moment, the calculation gives 0.0 μB per cell. Its crystal system is orthorhombic. As for the total energy: -3.493 eV/atom. The calculation puts the density at 2.9 g cm⁻³. For the density of states at the Fermi level, the calculation gives 0.00 states/eV per cell.

Lattice parameters (Å, degrees): 7.4504 3.9858 6.5933 90.00 90.00 90.00
Element x y z (fractional)
Li  0.1023  0.2500  0.1479
Li  0.3977  0.7500  0.6479
Li  0.6023  0.2500  0.3521
Li  0.8977  0.7500  0.8521
H  0.0122  0.2500  0.5917
H  0.4878  0.7500  0.0917
H  0.5122  0.2500  0.9083
H  0.9878  0.7500  0.4083
Se  0.1558  0.2500  0.7482
Se  0.3442  0.7500  0.2482
Se  0.6558  0.2500  0.7518
Se  0.8442  0.7500  0.2518


The following is a PBE calculation of an optimized crystal structure of KAcInO4, from Alexandria.

Results
For the total moment, the calculation gives 2.0 μB per cell. Its crystal system is orthorhombic. The calculation puts the uncorrected formation energy at -1.89 eV/atom. The calculation puts the density at 6.3 g cm⁻³. For the density of states at the Fermi level, the calculation gives 10.71 states/eV per cell.

Lattice parameters (Å, degrees): 7.1139 7.1139 6.1471 90.00 90.00 131.11
Element x y z (fractional)
K  0.1000  0.9000  0.7500
K  0.9000  0.1000  0.2500
Ac  0.3840  0.6160  0.7500
Ac  0.6160  0.3840  0.2500
In  0.2641  0.7359  0.2500
In  0.7359  0.2641  0.7500
O  0.0000  0.5000  0.0000
O  0.0000  0.5000  0.5000
O  0.0965  0.9035  0.2500
O  0.4323  0.5677  0.2500
O  0.5000  0.0000  0.0000
O  0.5000  0.0000  0.5000
O  0.5677  0.4323  0.7500
O  0.9035  0.0965  0.7500


The following is a PBE calculation of an optimized crystal structure of TlAg, from Alexandria.

Results
For the total moment, the calculation gives 0.0 μB per cell. The formation energy is 0.338 eV per atom. Its crystal system is hexagonal. The calculation puts the density at 8.2 g cm⁻³. For the density of states at the Fermi level, the calculation gives 1.67 states/eV per cell.

Lattice parameters (Å, degrees): 5.0117 5.0117 5.8082 90.00 90.00 120.00
Element x y z (fractional)
Tl  0.3333  0.6667  0.2500
Tl  0.6667  0.3333  0.7500
Ag  0.3333  0.6667  0.7500
Ag  0.6667  0.3333  0.2500